This record from Alexandria describes Pr8HgRh2 after structural relaxation. The functional is PBE.

Lattice parameters (Å, degrees): 8.265 8.265 5.821 98.78 98.78 116.23
Fractional coordinates of all 11 atoms:
Pr: 0.000 0.000 0.000
Pr: 0.054 0.303 0.622
Pr: 0.151 0.629 0.187
Pr: 0.303 0.054 0.622
Pr: 0.479 0.728 0.751
Pr: 0.629 0.151 0.187
Pr: 0.728 0.479 0.751
Pr: 0.782 0.782 0.374
Hg: 0.391 0.391 0.186
Rh: 0.104 0.679 0.688
Rh: 0.679 0.104 0.688

Output
Energy above the lowest structure with this stoichiometry (meV/atom): 23
ΔE_f (kJ per mole of atoms): -26.0
Energy (eV/cell): -56.20
M_tot (Bohr magnetons per cell): 0.000


This record from Alexandria describes CePrZn2 after structural relaxation. The functional is PBE.

Lattice parameters (Å, degrees): 3.655 3.655 7.401 90.00 90.00 90.00
Fractional coordinates of all 4 atoms:
Ce: 0.000 0.000 0.000
Pr: 0.000 0.000 0.500
Zn: 0.500 0.500 0.242
Zn: 0.500 0.500 0.758

Output
Energy above the lowest structure with this stoichiometry (meV/atom): 0
ΔE_f (kJ per mole of atoms): -22.5
Energy (eV/cell): -14.19
M_tot (Bohr magnetons per cell): 0.687


This record from Alexandria describes Ce2TmScP4 after structural relaxation. The functional is PBE.

Lattice parameters (Å, degrees): 6.850 3.982 6.894 90.00 109.60 90.00
Fractional coordinates of all 8 atoms:
Ce: 0.000 0.000 0.000
Ce: 0.000 0.500 0.500
Tm: 0.500 0.000 0.500
Sc: 0.500 0.500 0.000
P: 0.261 0.500 0.248
P: 0.265 0.000 0.760
P: 0.735 0.000 0.240
P: 0.739 0.500 0.752

Output
ΔE_f (kJ per mole of atoms): -145.5
Energy (eV/cell): -56.37
M_tot (Bohr magnetons per cell): 0.950


This record from Alexandria describes AcBe2PdPt2 after structural relaxation. The functional is PBE.

Lattice parameters (Å, degrees): 4.104 4.104 7.129 90.00 90.00 120.00
Fractional coordinates of all 6 atoms:
Ac: 0.000 0.000 0.000
Be: 0.333 0.667 0.362
Be: 0.667 0.333 0.638
Pd: 0.000 0.000 0.500
Pt: 0.333 0.667 0.706
Pt: 0.667 0.333 0.294

Output
ΔE_f (kJ per mole of atoms): -72.8
Energy (eV/cell): -33.36
M_tot (Bohr magnetons per cell): 0.000


This record from Alexandria describes Hf4Mn3Co after structural relaxation. The functional is PBE.

Lattice parameters (Å, degrees): 3.172 4.466 8.876 90.00 90.00 90.00
Fractional coordinates of all 8 atoms:
Hf: 0.000 0.000 0.000
Hf: 0.000 0.000 0.500
Hf: 0.000 0.500 0.249
Hf: 0.000 0.500 0.751
Mn: 0.500 0.000 0.252
Mn: 0.500 0.000 0.748
Mn: 0.500 0.500 0.000
Co: 0.500 0.500 0.500

Output
ΔE_f (kJ per mole of atoms): -20.9
Energy (eV/cell): -76.16
M_tot (Bohr magnetons per cell): 1.516


This record from Alexandria describes MgZn5Pd after structural relaxation. The functional is PBE.

Lattice parameters (Å, degrees): 3.751 3.751 8.424 90.00 90.00 90.00
Fractional coordinates of all 7 atoms:
Mg: 0.000 0.000 0.000
Zn: 0.000 0.000 0.500
Zn: 0.000 0.500 0.256
Zn: 0.000 0.500 0.744
Zn: 0.500 0.000 0.256
Zn: 0.500 0.000 0.744
Pd: 0.500 0.500 0.500

Output
Energy above the lowest structure with this stoichiometry (meV/atom): 0
ΔE_f (kJ per mole of atoms): -13.4
Energy (eV/cell): -14.13
M_tot (Bohr magnetons per cell): 0.000


This record from Alexandria describes Ac2NdDyAs4 after structural relaxation. The functional is PBE.

Lattice parameters (Å, degrees): 7.573 4.376 7.584 90.00 109.42 90.00
Fractional coordinates of all 8 atoms:
Ac: 0.000 0.000 0.000
Ac: 0.500 0.500 0.000
Nd: 0.000 0.500 0.500
Dy: 0.500 0.000 0.500
As: 0.248 0.000 0.733
As: 0.261 0.500 0.270
As: 0.739 0.500 0.730
As: 0.752 0.000 0.267

Output
ΔE_f (kJ per mole of atoms): -142.1
Energy (eV/cell): -47.97
M_tot (Bohr magnetons per cell): 0.000


This record from Alexandria describes ZnHgIr2 after structural relaxation. The functional is PBE.

Lattice parameters (Å, degrees): 4.484 4.484 4.484 60.00 60.00 60.00
Fractional coordinates of all 4 atoms:
Zn: 0.000 0.000 0.000
Hg: 0.500 0.500 0.500
Ir: 0.250 0.250 0.250
Ir: 0.750 0.750 0.750

Output
ΔE_f (kJ per mole of atoms): 35.7
Energy (eV/cell): -17.82
M_tot (Bohr magnetons per cell): 0.000


This record from Alexandria describes SrAgSbTe3 after structural relaxation. The functional is PBE.

Lattice parameters (Å, degrees): 9.088 4.470 9.830 90.00 102.00 90.00
Fractional coordinates of all 12 atoms:
Sr: 0.178 0.250 0.256
Sr: 0.822 0.750 0.744
Ag: 0.074 0.250 0.583
Ag: 0.926 0.750 0.417
Sb: 0.332 0.750 0.851
Sb: 0.668 0.250 0.149
Te: 0.107 0.250 0.886
Te: 0.253 0.750 0.519
Te: 0.431 0.750 0.162
Te: 0.569 0.250 0.838
Te: 0.747 0.250 0.481
Te: 0.893 0.750 0.114

Output
E_form (uncorrected) (eV/atom): -0.62
Energy (eV/cell): -43.57
M_tot (Bohr magnetons per cell): 0.000


This record from Alexandria describes LiTaHg4 after structural relaxation. The functional is PBE.

Lattice parameters (Å, degrees): 5.740 5.740 5.740 60.00 60.00 60.00
Fractional coordinates of all 6 atoms:
Li: 0.000 0.000 0.000
Ta: 0.750 0.750 0.750
Hg: 0.375 0.375 0.375
Hg: 0.375 0.375 0.875
Hg: 0.375 0.875 0.375
Hg: 0.875 0.375 0.375

Output
ΔE_f (kJ per mole of atoms): 60.2
Energy (eV/cell): -11.23
M_tot (Bohr magnetons per cell): 1.930


This record from Alexandria describes LaSmThSc after structural relaxation. The functional is PBE.

Lattice parameters (Å, degrees): 5.640 5.640 5.640 60.00 60.00 60.00
Fractional coordinates of all 4 atoms:
La: 0.000 0.000 0.000
Sm: 0.750 0.750 0.750
Th: 0.500 0.500 0.500
Sc: 0.250 0.250 0.250

Output
Energy above the lowest structure with this stoichiometry (meV/atom): 96
ΔE_f (kJ per mole of atoms): 12.5
Energy (eV/cell): -22.88
M_tot (Bohr magnetons per cell): 0.000


This record from Alexandria describes PbAu2 after structural relaxation. The functional is PBE.

Lattice parameters (Å, degrees): 5.975 5.010 8.875 90.00 90.00 90.00
Fractional coordinates of all 12 atoms:
Pb: 0.113 0.250 0.127
Pb: 0.387 0.750 0.627
Pb: 0.613 0.250 0.373
Pb: 0.887 0.750 0.873
Au: 0.140 0.250 0.481
Au: 0.201 0.750 0.295
Au: 0.299 0.250 0.795
Au: 0.360 0.750 0.981
Au: 0.640 0.250 0.019
Au: 0.701 0.750 0.205
Au: 0.799 0.250 0.705
Au: 0.860 0.750 0.519

Output
ΔE_f (kJ per mole of atoms): -4.4
Energy (eV/cell): -41.60
M_tot (Bohr magnetons per cell): 0.000


This record from Alexandria describes SbMoRu after structural relaxation. The functional is PBE.

Lattice parameters (Å, degrees): 4.325 4.325 4.325 60.00 60.00 60.00
Fractional coordinates of all 3 atoms:
Sb: 0.000 0.000 0.000
Mo: 0.500 0.500 0.500
Ru: 0.250 0.250 0.250

Output
Energy above the lowest structure with this stoichiometry (meV/atom): 0
E_form (uncorrected) (eV/atom): 0.02
Energy (eV/cell): -24.17
M_tot (Bohr magnetons per cell): 0.000


This record from Alexandria describes InOsBr2 after structural relaxation. The functional is PBE.

Lattice parameters (Å, degrees): 4.488 3.219 7.818 90.00 106.53 90.00
Fractional coordinates of all 4 atoms:
In: 0.000 0.000 0.000
Os: 0.480 0.500 0.960
Br: 0.347 0.000 0.690
Br: 0.645 0.500 0.290

Output
Energy above the lowest structure with this stoichiometry (meV/atom): 0
E_form (uncorrected) (eV/atom): 0.18
Energy (eV/cell): -16.59
M_tot (Bohr magnetons per cell): 0.000